Material: Cr3Co2Ir2
Method: DFT, PBE
State: optimized geometry

Values from the calculation:
* ΔH_f (0 K): 3.3 meV/atom

a = 3.746 Å, b = 2.603 Å, c = 9.032 Å
α = 90.00°, β = 78.03°, γ = 90.00°
Fractional coordinates of all 7 atoms:
Cr: 0.157 0.000 0.687
Cr: 0.843 0.000 0.313
Cr: 0.000 0.000 0.000
Ir: 0.424 0.500 0.151
Ir: 0.576 0.500 0.849
Co: 0.285 0.500 0.430
Co: 0.715 0.500 0.570


Material: K3Ac3NbO8
Method: DFT, PBE
State: optimized geometry

Values from the calculation:
* formation energy without anion corrections: -2.525 eV per atom

a = 7.376 Å, b = 7.378 Å, c = 7.717 Å
α = 118.57°, β = 90.00°, γ = 120.00°
Fractional coordinates of all 15 atoms:
O: 0.806 0.023 0.329
O: 0.194 0.977 0.671
O: 0.194 0.388 0.671
O: 0.806 0.612 0.329
O: 0.736 0.472 0.708
O: 0.783 0.977 0.671
O: 0.217 0.023 0.329
O: 0.264 0.528 0.292
K: 0.000 0.000 0.000
K: 0.000 0.500 0.000
K: 0.500 0.500 0.000
Nb: 0.000 0.000 0.500
Ac: 0.500 0.500 0.500
Ac: 0.000 0.500 0.500
Ac: 0.500 0.000 0.500


Material: BaAlIn2
Method: DFT, PBE
State: optimized geometry

Values from the calculation:
* ΔH_f (0 K): -132.5 meV/atom

a = 4.655 Å, b = 3.705 Å, c = 7.254 Å
α = 77.60°, β = 90.00°, γ = 90.00°
Fractional coordinates of all 4 atoms:
Al: 0.500 0.250 0.250
In: 0.000 0.080 0.058
In: 0.000 0.420 0.442
Ba: 0.500 0.750 0.750